{"formula": "HoTcTe", "functional": "PBE", "state": "relaxed", "m_tot_mub_per_atom": 0.58, "space_group": "No. 216", "crystal_system": "cubic", "e_tot_ev_per_cell": -17.8, "lattice_angstrom": [[0.000, 3.319, 3.319], [3.319, 0.000, 3.319], [3.319, 3.319, 0.000]], "species": ["Ho", "Tc", "Te"], "frac_coords": [[0.250, 0.250, 0.250], [0.750, 0.750, 0.750], [0.000, 0.000, 0.000]]}